# Na3Ag2Bi4 PBE-GGA optimized geometry
# * volume: 246.7 Å³/f.u.
# * total moment: 0.000 μB/f.u.
# * ρ: 7.54 g/cm³
# * energy of formation: -0.105 eV per atom
data_Na3Ag2Bi4
_chemical_formula_sum 'Na6 Ag4 Bi8'
_space_group_name_H-M_alt 'C 1 2/m 1'
_space_group_IT_number 12
_cell_length_a 10.8708
_cell_length_b 4.6456
_cell_length_c 9.8642
_cell_angle_alpha 90.00
_cell_angle_beta 97.98
_cell_angle_gamma 90.00
loop_
_space_group_symop_operation_xyz
'x,y,z'
'-x,-y,-z'
'-x,y,-z'
'x,-y,z'
'x+1/2,y+1/2,z'
'-x+1/2,-y+1/2,-z'
'-x+1/2,y+1/2,-z'
'x+1/2,-y+1/2,z'
loop_
_atom_site_label
_atom_site_fract_x
_atom_site_fract_y
_atom_site_fract_z
_atom_site_occupancy
Na1 0.0000 0.0000 0.0000 1
Na2 0.1639 0.5000 0.5659 1
Ag1 0.1540 0.5000 0.2122 1
Bi1 0.0329 0.0000 0.3418 1
Bi2 0.1798 0.5000 0.8993 1